Cr2GaNiSn PBE-GGA optimized geometry; crystal system = tetragonal
1.0
4.6630 0.0000 0.0000
0.0000 4.6630 0.0000
0.0000 0.0000 5.0731
Cr Ga Ni Sn
2 1 1 1
direct
0.0000 0.5000 0.0000
0.5000 0.0000 0.0000
0.0000 0.0000 0.0000
0.5000 0.5000 0.5000
0.0000 0.0000 0.5000



YHoIn2 PBE-GGA optimized geometry; crystal system = trigonal
1.0
3.6875 0.0000 0.0000
-1.8437 3.1935 0.0000
0.0000 0.0000 29.0671
Y Ho In
3 3 6
direct
0.0000 0.0000 0.0000
0.3333 0.6667 0.6667
0.6667 0.3333 0.3333
0.0000 0.0000 0.5000
0.3333 0.6667 0.1667
0.6667 0.3333 0.8333
0.0000 0.0000 0.2497
0.0000 0.0000 0.7503
0.3333 0.6667 0.4170
0.3333 0.6667 0.9163
0.6667 0.3333 0.0837
0.6667 0.3333 0.5830



| no. | ΔH_f (0 K) (eV per atom) |
| --- | --- |
| 1 | 1.260 |
| 2 | -0.340 |